GGA+U TaMoN2O, relaxed; total magnetic moment = 1.62 μB/f.u.; space-group type = P4/mmm, No. 123; total DFT energy (no corrections) = -7.6527 eV per atom
1.0
-2.848 1.258 -2.462
1.163 -2.660 -2.706
-2.406 -2.555 1.478
Mo N O Ta
1 2 1 1
Cartesian
0.000 0.000 0.000
0.582 -1.330 -1.353
-1.424 0.629 -1.231
-1.203 -1.278 0.739
-2.045 -1.979 -1.845